i:
DFT (PBE) results for a relaxed structure of AcTmSc.

a = 5.647 Å, b = 5.647 Å, c = 3.511 Å
α = 90.00°, β = 90.00°, γ = 120.00°
Sites, in units of the cell vectors:
Ac1 0.000 0.000 0.000
Tm1 0.667 0.333 0.501
Sc1 0.333 0.667 0.002

***

ii:
DFT (PBE) results for a relaxed structure of AcTmSc.

a = 7.533 Å, b = 7.533 Å, c = 7.533 Å
α = 90.00°, β = 90.00°, γ = 90.00°
Sites, in units of the cell vectors:
Ac1 0.105 0.105 0.105
Ac2 0.395 0.895 0.605
Ac3 0.605 0.395 0.895
Ac4 0.895 0.605 0.395
Tm1 0.080 0.580 0.920
Tm2 0.420 0.420 0.420
Tm3 0.580 0.920 0.080
Tm4 0.920 0.080 0.580
Sc1 0.223 0.277 0.723
Sc2 0.277 0.723 0.223
Sc3 0.723 0.223 0.277
Sc4 0.777 0.777 0.777

***

iii:
DFT (PBE) results for a relaxed structure of AcTmSc.

a = 6.752 Å, b = 6.752 Å, c = 6.752 Å
α = 145.48°, β = 145.48°, γ = 49.62°
Sites, in units of the cell vectors:
Ac1 0.000 0.000 0.000
Tm1 0.308 0.308 0.000
Sc1 0.674 0.674 0.000

***

Verdict on stability: iii comes out on top.

***

i:
DFT (PBE) results for a relaxed structure of AcYSc2.

a = 5.269 Å, b = 5.269 Å, c = 4.416 Å
α = 90.00°, β = 90.00°, γ = 90.00°
Sites, in units of the cell vectors:
Ac1 0.000 0.000 0.000
Y1 0.500 0.500 0.000
Sc1 0.000 0.500 0.500
Sc2 0.500 0.000 0.500

***

ii:
DFT (PBE) results for a relaxed structure of AcYSc2.

a = 4.003 Å, b = 4.003 Å, c = 7.726 Å
α = 90.00°, β = 90.00°, γ = 90.00°
Sites, in units of the cell vectors:
Ac1 0.000 0.000 0.000
Y1 0.000 0.000 0.500
Sc1 0.500 0.500 0.272
Sc2 0.500 0.500 0.728

***

iii:
DFT (PBE) results for a relaxed structure of AcYSc2.

a = 11.240 Å, b = 11.240 Å, c = 11.240 Å
α = 18.44°, β = 18.44°, γ = 18.44°
Sites, in units of the cell vectors:
Ac1 0.000 0.000 0.000
Y1 0.833 0.833 0.833
Sc1 0.420 0.420 0.420
Sc2 0.580 0.580 0.580

***

Verdict on stability: ii comes out on top.

***

i:
DFT (PBE) results for a relaxed structure of AcYSc2.

a = 11.286 Å, b = 11.286 Å, c = 11.286 Å
α = 18.28°, β = 18.28°, γ = 18.28°
Sites, in units of the cell vectors:
Ac1 0.000 0.000 0.000
Y1 0.500 0.500 0.500
Sc1 0.247 0.247 0.247
Sc2 0.753 0.753 0.753

***

ii:
DFT (PBE) results for a relaxed structure of AcYSc2.

a = 5.592 Å, b = 5.592 Å, c = 5.592 Å
α = 60.00°, β = 60.00°, γ = 60.00°
Sites, in units of the cell vectors:
Ac1 0.000 0.000 0.000
Y1 0.500 0.500 0.500
Sc1 0.250 0.250 0.250
Sc2 0.750 0.750 0.750

***

Verdict on stability: ii comes out on top.

***

i:
DFT (PBE) results for a relaxed structure of AcY2Sc.

a = 5.027 Å, b = 5.027 Å, c = 5.225 Å
α = 90.00°, β = 90.00°, γ = 90.00°
Sites, in units of the cell vectors:
Ac1 0.000 0.000 0.000
Y1 0.000 0.500 0.500
Y2 0.500 0.000 0.500
Sc1 0.500 0.500 0.000

***

ii:
DFT (PBE) results for a relaxed structure of AcY2Sc.

a = 3.945 Å, b = 3.945 Å, c = 8.667 Å
α = 90.00°, β = 90.00°, γ = 90.00°
Sites, in units of the cell vectors:
Ac1 0.000 0.000 0.000
Y1 0.500 0.500 0.292
Y2 0.500 0.500 0.708
Sc1 0.000 0.000 0.500

***

Verdict on stability: ii comes out on top.

***

i:
DFT (PBE) results for a relaxed structure of AcY2Sc.

a = 5.733 Å, b = 5.733 Å, c = 5.733 Å
α = 60.00°, β = 60.00°, γ = 60.00°
Sites, in units of the cell vectors:
Ac1 0.000 0.000 0.000
Y1 0.250 0.250 0.250
Y2 0.750 0.750 0.750
Sc1 0.500 0.500 0.500

***

ii:
DFT (PBE) results for a relaxed structure of AcY2Sc.

a = 11.690 Å, b = 11.690 Å, c = 11.690 Å
α = 17.95°, β = 17.95°, γ = 17.95°
Sites, in units of the cell vectors:
Ac1 0.000 0.000 0.000
Y1 0.244 0.244 0.244
Y2 0.756 0.756 0.756
Sc1 0.500 0.500 0.500

***

Verdict on stability: ii comes out on top.

***

i:
DFT (PBE) results for a relaxed structure of AcScZn2.

a = 3.602 Å, b = 3.602 Å, c = 7.383 Å
α = 90.00°, β = 90.00°, γ = 90.00°
Sites, in units of the cell vectors:
Ac1 0.000 0.000 0.000
Sc1 0.000 0.000 0.500
Zn1 0.500 0.500 0.308
Zn2 0.500 0.500 0.692

***

ii:
DFT (PBE) results for a relaxed structure of AcScZn2.

a = 5.188 Å, b = 5.188 Å, c = 3.661 Å
α = 90.00°, β = 90.00°, γ = 90.00°
Sites, in units of the cell vectors:
Ac1 0.000 0.000 0.000
Sc1 0.500 0.500 0.000
Zn1 0.000 0.500 0.500
Zn2 0.500 0.000 0.500

***

iii:
DFT (PBE) results for a relaxed structure of AcScZn2.

a = 5.194 Å, b = 5.194 Å, c = 5.194 Å
α = 60.00°, β = 60.00°, γ = 60.00°
Sites, in units of the cell vectors:
Ac1 0.000 0.000 0.000
Sc1 0.500 0.500 0.500
Zn1 0.250 0.250 0.250
Zn2 0.750 0.750 0.750

***

Verdict on stability: i comes out on top.

***

i:
DFT (PBE) results for a relaxed structure of AcSiSe3.

a = 7.060 Å, b = 8.170 Å, c = 11.926 Å
α = 90.00°, β = 124.47°, γ = 90.00°
Sites, in units of the cell vectors:
Ac1 0.211 0.122 0.250
Ac2 0.211 0.378 0.750
Ac3 0.789 0.622 0.250
Ac4 0.789 0.878 0.750
Si1 0.136 0.598 0.066
Si2 0.136 0.902 0.566
Si3 0.864 0.098 0.434
Si4 0.864 0.402 0.934
Se1 0.080 0.189 0.937
Se2 0.080 0.311 0.437
Se3 0.290 0.686 0.950
Se4 0.290 0.814 0.450
Se5 0.394 0.010 0.775
Se6 0.394 0.490 0.275
Se7 0.606 0.510 0.725
Se8 0.606 0.990 0.225
Se9 0.710 0.186 0.550
Se10 0.710 0.314 0.050
Se11 0.920 0.689 0.563
Se12 0.920 0.811 0.063

***

ii:
DFT (PBE) results for a relaxed structure of AcSiSe3.

a = 4.970 Å, b = 4.970 Å, c = 4.970 Å
α = 90.00°, β = 90.00°, γ = 90.00°
Sites, in units of the cell vectors:
Ac1 0.000 0.000 0.000
Si1 0.500 0.500 0.500
Se1 0.000 0.500 0.500
Se2 0.500 0.000 0.500
Se3 0.500 0.500 0.000

***

Verdict on stability: i comes out on top.

***

i:
DFT (PBE) results for a relaxed structure of Ac2SiSe.

a = 5.486 Å, b = 5.486 Å, c = 5.486 Å
α = 60.00°, β = 60.00°, γ = 60.00°
Sites, in units of the cell vectors:
Ac1 0.250 0.250 0.250
Ac2 0.750 0.750 0.750
Si1 0.000 0.000 0.000
Se1 0.500 0.500 0.500

***

ii:
DFT (PBE) results for a relaxed structure of Ac2SiSe.

a = 8.194 Å, b = 8.194 Å, c = 8.194 Å
α = 31.75°, β = 31.75°, γ = 31.75°
Sites, in units of the cell vectors:
Ac1 0.000 0.000 0.000
Ac2 0.180 0.180 0.180
Si1 0.590 0.590 0.590
Se1 0.421 0.421 0.421

***

iii:
DFT (PBE) results for a relaxed structure of Ac2SiSe.

a = 10.136 Å, b = 10.136 Å, c = 7.886 Å
α = 104.92°, β = 104.92°, γ = 126.65°
Sites, in units of the cell vectors:
Ac1 0.058 0.433 0.741
Ac2 0.174 0.300 0.241
Ac3 0.300 0.174 0.741
Ac4 0.433 0.058 0.241
Ac5 0.567 0.942 0.759
Ac6 0.700 0.826 0.259
Ac7 0.826 0.700 0.759
Ac8 0.942 0.567 0.259
Si1 0.065 0.935 0.250
Si2 0.190 0.810 0.750
Si3 0.810 0.190 0.250
Si4 0.935 0.065 0.750
Se1 0.314 0.686 0.250
Se2 0.439 0.561 0.750
Se3 0.561 0.439 0.250
Se4 0.686 0.314 0.750

***

iv:
DFT (PBE) results for a relaxed structure of Ac2SiSe.

a = 3.792 Å, b = 3.792 Å, c = 7.999 Å
α = 90.00°, β = 90.00°, γ = 90.00°
Sites, in units of the cell vectors:
Ac1 0.000 0.000 0.243
Ac2 0.000 0.000 0.757
Si1 0.500 0.500 0.000
Se1 0.500 0.500 0.500

***

Verdict on stability: iii comes out on top.

***

i:
DFT (PBE) results for a relaxed structure of Ac2SmSe4.

a = 7.684 Å, b = 7.684 Å, c = 14.498 Å
α = 90.00°, β = 90.00°, γ = 148.38°
Sites, in units of the cell vectors:
Ac1 0.131 0.869 0.575
Ac2 0.131 0.869 0.925
Ac3 0.869 0.131 0.075
Ac4 0.869 0.131 0.425
Sm1 0.371 0.629 0.750
Sm2 0.629 0.371 0.250
Se1 0.013 0.987 0.750
Se2 0.218 0.782 0.127
Se3 0.218 0.782 0.373
Se4 0.500 0.500 0.000
Se5 0.500 0.500 0.500
Se6 0.782 0.218 0.627
Se7 0.782 0.218 0.873
Se8 0.987 0.013 0.250

***

ii:
DFT (PBE) results for a relaxed structure of Ac2SmSe4.

a = 7.429 Å, b = 7.429 Å, c = 8.797 Å
α = 120.87°, β = 120.87°, γ = 32.47°
Sites, in units of the cell vectors:
Ac1 0.145 0.145 0.204
Ac2 0.855 0.855 0.796
Sm1 0.500 0.500 0.500
Se1 0.166 0.166 0.582
Se2 0.444 0.444 0.129
Se3 0.556 0.556 0.871
Se4 0.834 0.834 0.418

***

Verdict on stability: ii comes out on top.

***

i:
DFT (PBE) results for a relaxed structure of AcSmSe3.

a = 8.138 Å, b = 8.138 Å, c = 9.337 Å
α = 92.56°, β = 92.56°, γ = 30.40°
Sites, in units of the cell vectors:
Ac1 0.115 0.115 0.087
Ac2 0.885 0.885 0.913
Sm1 0.328 0.328 0.365
Sm2 0.672 0.672 0.635
Se1 0.143 0.143 0.433
Se2 0.244 0.244 0.834
Se3 0.463 0.463 0.164
Se4 0.537 0.537 0.836
Se5 0.756 0.756 0.166
Se6 0.857 0.857 0.567

***

ii:
DFT (PBE) results for a relaxed structure of AcSmSe3.

a = 7.991 Å, b = 4.358 Å, c = 16.560 Å
α = 90.00°, β = 90.00°, γ = 90.00°
Sites, in units of the cell vectors:
Ac1 0.141 0.250 0.199
Ac2 0.359 0.750 0.699
Ac3 0.641 0.250 0.301
Ac4 0.859 0.750 0.801
Sm1 0.229 0.750 0.457
Sm2 0.271 0.250 0.957
Sm3 0.729 0.750 0.043
Sm4 0.771 0.250 0.543
Se1 0.011 0.250 0.396
Se2 0.126 0.750 0.059
Se3 0.152 0.250 0.786
Se4 0.348 0.750 0.286
Se5 0.374 0.250 0.559
Se6 0.489 0.750 0.896
Se7 0.511 0.250 0.104
Se8 0.626 0.750 0.441
Se9 0.652 0.250 0.714
Se10 0.848 0.750 0.214
Se11 0.874 0.250 0.941
Se12 0.989 0.750 0.604

***

Verdict on stability: ii comes out on top.